Here is crystalline BaTe2MoAs at its relaxed geometry from Alexandria via LeMat-Bulk. Energies are from PBE.

The structure in POSCAR format:
```
BaTe2MoAs
1.0
6.5966 0.0000 0.0000
0.0000 6.5966 0.0000
0.0000 0.0000 6.6997
Ba Te Mo As
1 2 1 1
Direct
0.0000 0.0000 0.0000
0.0000 0.5000 0.0000
0.5000 0.0000 0.0000
0.0000 0.0000 0.5000
0.5000 0.5000 0.5000
```

Calculated values
VASP energy: -3.0996 eV per atom
E_form (uncorrected): 1638 meV per atom
Crystal system: tetragonal
Size of the total moment: 7.010 μB/cell

=====

Here is crystalline BaTi2MoAs at its relaxed geometry from Alexandria via LeMat-Bulk. Energies are from PBE.

The structure in POSCAR format:
```
BaTi2MoAs
1.0
4.9522 0.0000 0.0000
0.0000 4.9522 0.0000
0.0000 0.0000 4.9762
Ba Ti Mo As
1 2 1 1
Direct
0.0000 0.0000 0.0000
0.0000 0.5000 0.0000
0.5000 0.0000 0.0000
0.0000 0.0000 0.5000
0.5000 0.5000 0.5000
```

Calculated values
VASP energy: -4.4658 eV per atom
Energy of formation: 10.86 eV per formula unit
Crystal system: tetragonal
Size of the total moment: 0.000 μB/cell

=====

Here is crystalline BaZn2MoAs at its relaxed geometry from Alexandria via LeMat-Bulk. Energies are from PBE.

The structure in POSCAR format:
```
BaZn2MoAs
1.0
4.9974 0.0000 0.0000
0.0000 4.9974 0.0000
0.0000 0.0000 6.2303
Ba Zn Mo As
1 2 1 1
Direct
0.0000 0.0000 0.0000
0.0000 0.5000 0.5000
0.5000 0.0000 0.5000
0.5000 0.5000 0.0000
0.0000 0.0000 0.5000
```

Calculated values
VASP energy: -3.1089 eV per atom
Energy of formation: 4.41 eV per formula unit
Crystal system: tetragonal
Size of the total moment: 4.532 μB/cell

=====

Here is crystalline BaAs3N at its relaxed geometry from Alexandria via LeMat-Bulk. Energies are from PBE.

The structure in POSCAR format:
```
BaAs3N
1.0
4.6831 0.0000 0.0000
0.0000 4.6831 0.0000
0.0000 0.0000 4.6831
Ba As N
1 3 1
Direct
0.0000 0.0000 0.0000
0.0000 0.5000 0.5000
0.5000 0.0000 0.5000
0.5000 0.5000 0.0000
0.5000 0.5000 0.5000
```

Calculated values
VASP energy: -4.5303 eV per atom
E_form (uncorrected): 309 meV per atom
Crystal system: cubic
Excess energy over the best structure of this formula in the dataset: 0.000 eV per atom
Size of the total moment: 0.000 μB/cell

=====

Here is crystalline Ba3AsN at its relaxed geometry from Alexandria via LeMat-Bulk. Energies are from PBE.

The structure in POSCAR format:
```
Ba3AsN
1.0
3.7449 -8.0759 0.0000
3.7449 8.0759 0.0000
0.0000 0.0000 5.3905
Ba As N
6 2 2
Direct
0.0000 0.5000 0.5000
0.1422 0.8578 0.0000
0.2588 0.2588 0.5000
0.5000 0.0000 0.5000
0.7412 0.7412 0.5000
0.8578 0.1422 0.0000
0.3478 0.6522 0.0000
0.6522 0.3478 0.0000
0.1122 0.8878 0.5000
0.8878 0.1122 0.5000
```

Calculated values
VASP energy: -4.4237 eV per atom
E_form (uncorrected): -675 meV per atom
Crystal system: orthorhombic
Size of the total moment: 0.000 μB/cell

=====

Here is crystalline Ba12As5N2 at its relaxed geometry from Alexandria via LeMat-Bulk. Energies are from PBE.

The structure in POSCAR format:
```
Ba12As5N2
1.0
9.0900 -4.1823 0.0000
9.0900 4.1823 0.0000
-2.9448 0.0000 10.0078
Ba As N
12 5 2
Direct
0.0011 0.0011 0.1849
0.0772 0.5938 0.9143
0.1002 0.6009 0.4282
0.3991 0.8998 0.5718
0.4062 0.9228 0.0857
0.4941 0.4941 0.1756
0.5059 0.5059 0.8244
0.5938 0.0772 0.9143
0.6009 0.1002 0.4282
0.8998 0.3991 0.5718
0.9228 0.4062 0.0857
0.9989 0.9989 0.8151
0.1847 0.1847 0.8380
0.1933 0.1933 0.3501
0.5000 0.5000 0.5000
0.8067 0.8067 0.6499
0.8153 0.8153 0.1620
0.2522 0.7478 0.0000
0.7478 0.2522 0.0000
```

Calculated values
VASP energy: -4.1099 eV per atom
E_form (uncorrected): -796 meV per atom
Crystal system: monoclinic
Size of the total moment: 2.764 μB/cell

=====

Here is crystalline Ba6AsN at its relaxed geometry from Alexandria via LeMat-Bulk. Energies are from PBE.

The structure in POSCAR format:
```
Ba6AsN
1.0
3.9745 -6.8165 0.0000
3.9745 6.8165 0.0000
-2.3495 0.0000 7.0521
Ba As N
6 1 1
Direct
0.0462 0.3364 0.2466
0.2546 0.2546 0.7926
0.3364 0.0462 0.2466
0.6636 0.9538 0.7534
0.7454 0.7454 0.2074
0.9538 0.6636 0.7534
0.5000 0.5000 0.5000
0.0000 0.0000 0.0000
```

Calculated values
VASP energy: -3.4682 eV per atom
E_form (uncorrected): -404 meV per atom
Crystal system: monoclinic
Size of the total moment: 0.081 μB/cell

=====

Here is crystalline Ba3AsN at its relaxed geometry from Alexandria via LeMat-Bulk. Energies are from PBE.

The structure in POSCAR format:
```
Ba3AsN
1.0
5.4842 0.0000 0.0000
0.0000 5.4842 0.0000
0.0000 0.0000 5.4842
Ba As N
3 1 1
Direct
0.0000 0.0000 0.5000
0.0000 0.5000 0.0000
0.5000 0.0000 0.0000
0.5000 0.5000 0.5000
0.0000 0.0000 0.0000
```

Calculated values
VASP energy: -4.4241 eV per atom
E_form (uncorrected): -675 meV per atom
Crystal system: cubic
Size of the total moment: 0.000 μB/cell

=====

Here is crystalline Ba8AsN2 at its relaxed geometry from Alexandria via LeMat-Bulk. Energies are from PBE.

The structure in POSCAR format:
```
Ba8AsN2
1.0
7.5003 -5.5203 0.0000
7.5003 5.5203 0.0000
-0.2516 0.0000 7.2627
Ba As N
8 1 2
Direct
0.0694 0.7018 0.7442
0.1781 0.1781 0.7768
0.2982 0.9306 0.2558
0.3541 0.3541 0.2303
0.6459 0.6459 0.7697
0.7018 0.0694 0.7442
0.8219 0.8219 0.2232
0.9306 0.2982 0.2558
0.0000 0.0000 0.5000
0.1949 0.1949 0.1277
0.8051 0.8051 0.8723
```

Calculated values
VASP energy: -3.7597 eV per atom
E_form (uncorrected): -425 meV per atom
Crystal system: monoclinic
Size of the total moment: 0.001 μB/cell

=====

Here is crystalline Ba2AsN at its relaxed geometry from Alexandria via LeMat-Bulk. Energies are from PBE.

The structure in POSCAR format:
```
Ba2AsN
1.0
0.0000 3.8493 3.8493
3.8493 0.0000 3.8493
3.8493 3.8493 0.0000
Ba As N
2 1 1
Direct
0.2500 0.2500 0.2500
0.7500 0.7500 0.7500
0.0000 0.0000 0.0000
0.5000 0.5000 0.5000
```

Calculated values
VASP energy: -4.2930 eV per atom
E_form (uncorrected): -88 meV per atom
Crystal system: cubic
Excess energy over the best structure of this formula in the dataset: 0.173 eV per atom
Size of the total moment: 2.000 μB/cell

=====

Here is crystalline BaAs3N at its relaxed geometry from Alexandria via LeMat-Bulk. Energies are from PBE.

The structure in POSCAR format:
```
BaAs3N
1.0
6.0631 0.0000 0.0000
0.0000 6.0631 0.0000
0.0000 0.0000 6.0631
Ba As N
1 3 1
Direct
0.0000 0.0000 0.0000
0.0000 0.0000 0.5000
0.0000 0.5000 0.0000
0.5000 0.0000 0.0000
0.5000 0.5000 0.5000
```

Calculated values
VASP energy: -2.7512 eV per atom
E_form (uncorrected): 2088 meV per atom
Crystal system: cubic
Excess energy over the best structure of this formula in the dataset: 1.779 eV per atom
Size of the total moment: 1.812 μB/cell

=====

Here is crystalline Ba3AsN at its relaxed geometry from Alexandria via LeMat-Bulk. Energies are from PBE.

The structure in POSCAR format:
```
Ba3AsN
1.0
6.4238 -3.7177 0.0000
6.4238 3.7177 0.0000
-0.9970 0.0000 6.8054
Ba As N
6 2 2
Direct
0.1624 0.6741 0.7098
0.1652 0.1652 0.8262
0.3259 0.8376 0.2902
0.6741 0.1624 0.7098
0.8348 0.8348 0.1738
0.8376 0.3259 0.2902
0.3350 0.3350 0.2636
0.6650 0.6650 0.7364
0.0000 0.0000 0.0000
0.0000 0.0000 0.5000
```

Calculated values
VASP energy: -4.5082 eV per atom
E_form (uncorrected): -760 meV per atom
Crystal system: monoclinic
Size of the total moment: 0.000 μB/cell

=====

Question: The lowest VASP energy belongs to which entry?
Answer: number 4